DFT (PBE-GGA) results for a relaxed structure of Li6SmZn6.

Raw total energy = -2.031 eV per atom

POSCAR file:
```
Li6SmZn6
1.0
-2.580 4.577 4.622
2.580 -4.577 4.622
2.580 4.577 -4.622
Li Sm Zn
6 1 6
Cartesian
2.580 1.315 0.000
0.000 0.000 1.418
0.000 2.663 0.000
0.000 6.492 0.000
0.000 0.000 7.826
0.000 3.263 4.622
0.000 0.000 4.622
1.290 2.289 -2.311
1.290 -2.289 2.311
2.580 0.000 2.652
-1.290 2.289 2.311
1.290 2.289 2.311
0.000 4.577 1.970
```